## U6InS8 (PBE-GGA)

Data for a relaxed structure of U6InS8.

Lattice parameters (Å, degrees): 7.521 7.521 7.521 93.54 93.54 93.54
Atoms (fractional coordinates):
S 0.371 0.069 0.699
S 0.699 0.371 0.069
S 0.287 0.287 0.287
S 0.069 0.699 0.371
S 0.713 0.713 0.713
S 0.301 0.629 0.931
S 0.629 0.931 0.301
S 0.931 0.301 0.629
U 0.594 0.236 0.474
U 0.406 0.764 0.526
U 0.474 0.594 0.236
U 0.764 0.526 0.406
U 0.236 0.474 0.594
U 0.526 0.406 0.764
In 0.000 0.000 0.000

Calculated values
Its crystal system is trigonal. As for the space group: R-3. As for the energy relative to the elements, uncorrected: -0.90 eV per atom. As for the total magnetic moment: 5.01 Bohr magnetons per cell.


## Tb6Pr3Ho2In (PBE-GGA)

Data for a relaxed structure of Tb6Pr3Ho2In.

Lattice parameters (Å, degrees): 6.185 6.185 11.723 95.07 95.07 120.03
Atoms (fractional coordinates):
Pr 0.168 0.832 0.500
Pr 0.500 0.500 0.500
Pr 0.832 0.168 0.500
Tb 0.593 0.920 0.758
Tb 0.247 0.247 0.757
Tb 0.407 0.080 0.242
Tb 0.920 0.593 0.758
Tb 0.080 0.407 0.242
Tb 0.753 0.753 0.243
Ho 0.666 0.334 0.000
Ho 0.334 0.666 0.000
In 0.000 0.000 0.000

Calculated values
The calculation puts the energy of formation at -35 meV per atom. Its crystal system is monoclinic. As for the space group: C2/m. As for the total magnetic moment: 0.00 Bohr magnetons per cell.


## BaHfCo2 (PBE-GGA)

Data for a relaxed structure of BaHfCo2.

Lattice parameters (Å, degrees): 4.812 4.812 4.812 60.00 60.00 60.00
Atoms (fractional coordinates):
Hf 0.500 0.500 0.500
Co 0.750 0.750 0.750
Co 0.250 0.250 0.250
Ba 0.000 0.000 0.000

Calculated values
The calculation puts the energy of formation at 622 meV per atom. Its crystal system is cubic. As for the space group: Fm-3m. The distance to the lowest polymorph of the same formula comes out at 0.0 meV per atom. As for the total magnetic moment: 0.65 Bohr magnetons per cell.


## AcMgRh (PBE-GGA)

Data for a relaxed structure of AcMgRh.

Lattice parameters (Å, degrees): 4.612 7.945 6.543 44.90 69.36 73.13
Atoms (fractional coordinates):
Ac 0.633 0.693 0.040
Ac 0.367 0.307 0.960
Mg 0.900 0.812 0.387
Mg 0.100 0.188 0.613
Rh 0.712 0.171 0.404
Rh 0.288 0.829 0.596

Calculated values
The calculation puts the energy of formation at -491 meV per atom. Its crystal system is monoclinic. As for the space group: C2/m. The distance to the lowest polymorph of the same formula comes out at 70.6 meV per atom. As for the total magnetic moment: 0.00 Bohr magnetons per cell.


## B2C (PBE-GGA)

Data for a relaxed structure of B2C.

Lattice parameters (Å, degrees): 5.150 5.150 7.544 72.55 72.55 30.86
Atoms (fractional coordinates):
C 0.184 0.184 0.534
C 0.956 0.956 0.047
C 0.878 0.878 0.661
C 0.812 0.812 0.205
B 0.741 0.741 0.585
B 0.665 0.665 0.181
B 0.448 0.448 0.953
B 0.321 0.321 0.337
B 0.064 0.064 0.175
B 0.396 0.396 0.746
B 0.499 0.499 0.337
B 0.036 0.036 0.490

Calculated values
The calculation puts the energy of formation at 419 meV per atom. Its crystal system is monoclinic. As for the space group: Cm. The distance to the lowest polymorph of the same formula comes out at 233.4 meV per atom. As for the total magnetic moment: 0.00 Bohr magnetons per cell.


## CrHgAu2S (PBE-GGA)

Data for a relaxed structure of CrHgAu2S.

Lattice parameters (Å, degrees): 4.809 5.125 4.809 90.00 90.00 90.00
Atoms (fractional coordinates):
Hg 0.000 0.500 0.000
Au 0.500 0.000 0.000
Au 0.000 0.000 0.500
Cr 0.000 0.000 0.000
S 0.500 0.500 0.500

Calculated values
Its crystal system is tetragonal. As for the space group: P4/mmm. The distance to the lowest polymorph of the same formula comes out at 937.5 meV per atom. As for the energy relative to the elements, uncorrected: 1.26 eV per atom. As for the total magnetic moment: 0.00 Bohr magnetons per cell.


## HfMnAlPt (PBE-GGA)

Data for a relaxed structure of HfMnAlPt.

Lattice parameters (Å, degrees): 4.415 4.415 4.415 60.00 60.00 60.00
Atoms (fractional coordinates):
Mn 0.750 0.750 0.750
Hf 0.500 0.500 0.500
Pt 0.250 0.250 0.250
Al 0.000 0.000 0.000

Calculated values
The calculation puts the energy of formation at -638 meV per atom. Its crystal system is cubic. As for the space group: F-43m. As for the total magnetic moment: 0.00 Bohr magnetons per cell.


## Tl2AgHg (PBE-GGA)

Data for a relaxed structure of Tl2AgHg.

Lattice parameters (Å, degrees): 3.641 3.353 9.877 63.30 90.00 90.00
Atoms (fractional coordinates):
Hg 0.500 0.750 0.750
Tl 0.000 0.034 0.031
Tl 0.000 0.466 0.469
Ag 0.500 0.250 0.250

Calculated values
The calculation puts the energy of formation at 74 meV per atom. Its crystal system is monoclinic. As for the space group: P2/m. The distance to the lowest polymorph of the same formula comes out at 5.5 meV per atom. As for the total magnetic moment: 0.00 Bohr magnetons per cell.